[1]
Density functional theory data (PBE) for InF after structural relaxation.

Output
**Formation energy from raw total energies**: -1.562 eV per atom

abc: 3.5895 3.5895 8.7103
angles: 90.00 90.00 120.00
Space group P6_3mc (No. 186)
Symmetry-distinct sites (fractional):
In 0.3333 0.6667 0.0000 x2
F 0.3333 0.6667 0.6517 x2

[2]
Density functional theory data (PBE) for Tm2HfNb after structural relaxation.

Output
**DFT formation energy**: 11.2 kcal/mol of atoms

abc: 3.1912 3.1912 33.2363
angles: 90.00 90.00 120.00
Space group R-3m (No. 166, hexagonal axes)
Symmetry-distinct sites (fractional):
Tm 0.0000 0.0000 0.0875 x6
Hf 0.0000 0.0000 0.5000 x3
Nb 0.0000 0.0000 0.0000 x3

[3]
Density functional theory data (PBE) for Zn2CuCl2 after structural relaxation.

Output
**Formation energy from raw total energies**: -0.007 eV per atom
**ΔE to the lowest computed polymorph**: 0.000 eV per atom

abc: 6.9163 6.9163 4.2572
angles: 90.00 90.00 90.00
Space group P4/mbm (No. 127)
Symmetry-distinct sites (fractional):
Zn 0.1263 0.3737 0.0000 x4
Cu 0.0000 0.0000 0.0000 x2
Cl 0.2465 0.7465 0.5000 x4

[4]
Density functional theory data (PBE) for Li2Ti2Pd7 after structural relaxation.

Output
**DFT formation energy**: -9.7 kcal/mol of atoms

abc: 13.2641 8.7921 2.9793
angles: 90.00 102.89 90.00
Space group C2/m (No. 12)
Symmetry-distinct sites (fractional):
Li 0.1988 0.0000 0.1993 x4
Ti 0.0000 0.2660 0.0000 x4
Pd 0.0000 0.0000 0.5000 x2
Pd 0.1217 0.5000 0.1238 x4
Pd 0.1586 0.2318 0.6597 x8

[5]
Density functional theory data (PBE) for SmYSCl after structural relaxation.

Output
**Formation energy from raw total energies**: -1.606 eV per atom

abc: 6.6070 3.8172 7.7535
angles: 90.00 106.41 90.00
Space group Cm (No. 8)
Symmetry-distinct sites (fractional):
Sm 0.0000 0.0000 0.0000 x2
Y 0.3065 0.5000 0.4202 x2
S 0.4052 0.0000 0.2156 x2
Cl 0.2301 0.0000 0.6918 x2

[6]
Density functional theory data (PBE) for NpGaSb2 after structural relaxation.

Output
**Formation energy from raw total energies**: -0.199 eV per atom
**ΔE to the lowest computed polymorph**: 0.000 eV per atom

abc: 4.6391 4.6391 4.3924
angles: 90.00 90.00 90.00
Space group P4/mmm (No. 123)
Symmetry-distinct sites (fractional):
Np 0.0000 0.0000 0.0000 x1
Ga 0.5000 0.5000 0.0000 x1
Sb 0.0000 0.5000 0.5000 x2

[7]
Density functional theory data (PBE) for NiHIr after structural relaxation.

Output
**ΔE to the lowest computed polymorph**: 0.063 eV per atom

abc: 2.7613 2.7613 3.6914
angles: 90.00 90.00 90.00
Space group P4/mmm (No. 123)
Symmetry-distinct sites (fractional):
Ni 0.0000 0.0000 0.0000 x1
H 0.5000 0.5000 0.0000 x1
Ir 0.5000 0.5000 0.5000 x1

[8]
Density functional theory data (PBE) for CrAuSeN2 after structural relaxation.

Output
**Formation energy from raw total energies**: 0.554 eV per atom
**ΔE to the lowest computed polymorph**: 0.000 eV per atom

abc: 3.6689 3.6689 5.5111
angles: 90.00 90.00 90.00
Space group P4/mmm (No. 123)
Symmetry-distinct sites (fractional):
Cr 0.0000 0.0000 0.0000 x1
Au 0.5000 0.5000 0.5000 x1
Se 0.0000 0.0000 0.5000 x1
N 0.0000 0.5000 0.0000 x2

[9]
Density functional theory data (PBE) for CsMg2Pb3 after structural relaxation.

Output
**DFT formation energy**: -2.3 kcal/mol of atoms

abc: 13.7800 10.0116 6.1435
angles: 90.00 90.00 90.00
Space group Cmcm (No. 63)
Symmetry-distinct sites (fractional):
Cs 0.0000 0.1548 0.2500 x4
Mg 0.2030 0.5000 0.0000 x8
Pb 0.0000 0.4294 0.7500 x4
Pb 0.1959 0.2273 0.7500 x8

[10]
Density functional theory data (PBE) for Tl12Se5Br3 after structural relaxation.

Output
**Formation energy from raw total energies**: -0.398 eV per atom

abc: 18.6789 18.6789 18.6789
angles: 90.00 90.00 90.00
Space group Ia-3d (No. 230)
Symmetry-distinct sites (fractional):
Tl 0.0162 0.0650 0.6550 x96
Se 0.0000 0.0000 0.0000 x16
Se 0.0000 0.2500 0.3750 x24
Br 0.0000 0.2500 0.1250 x24

[11]
Density functional theory data (PBE) for Pu2FeSi6Rh after structural relaxation.

Output
**Formation energy from raw total energies**: -0.448 eV per atom

abc: 5.7593 5.7593 35.2205
angles: 90.00 90.00 120.00
Space group R-3m (No. 166, hexagonal axes)
Symmetry-distinct sites (fractional):
Pu 0.0000 0.0000 0.1096 x6
Pu 0.0000 0.0000 0.2953 x6
Fe 0.0000 0.0000 0.0000 x3
Fe 0.0000 0.0000 0.5000 x3
Si 0.0500 0.5250 0.2974 x18
Si 0.0595 0.5297 0.8671 x18
Rh 0.0000 0.0000 0.4254 x6

[12]
Density functional theory data (PBE) for CrAg2Mo after structural relaxation.

Output
**DFT formation energy**: 15.5 kcal/mol of atoms
**ΔE to the lowest computed polymorph**: 0.335 eV per atom

abc: 6.4311 6.4311 6.4311
angles: 90.00 90.00 90.00
Space group F-43m (No. 216)
Symmetry-distinct sites (fractional):
Cr 0.0000 0.0000 0.0000 x4
Ag 0.0000 0.0000 0.5000 x4
Ag 0.2500 0.2500 0.7500 x4
Mo 0.2500 0.2500 0.2500 x4

[13]
Density functional theory data (PBE) for Er3TlPt after structural relaxation.

Output
**DFT formation energy**: -15.4 kcal/mol of atoms
**ΔE to the lowest computed polymorph**: 0.000 eV per atom

abc: 4.7508 6.8077 8.3793
angles: 90.00 90.00 90.00
Space group Pmmn (No. 59, origin choice 2)
Symmetry-distinct sites (fractional):
Er 0.2500 0.0024 0.1617 x4
Er 0.2500 0.7500 0.5638 x2
Tl 0.2500 0.2500 0.6691 x2
Pt 0.2500 0.7500 0.8960 x2

[14]
Density functional theory data (PBE) for Pm4Tm3Mg after structural relaxation.

Output
**DFT formation energy**: -0.1 kcal/mol of atoms

abc: 3.6079 3.6079 19.3196
angles: 90.00 90.00 90.00
Space group P4/mmm (No. 123)
Symmetry-distinct sites (fractional):
Pm 0.0000 0.0000 0.1152 x2
Pm 0.0000 0.0000 0.3720 x2
Tm 0.5000 0.5000 0.2428 x2
Tm 0.5000 0.5000 0.5000 x1
Mg 0.5000 0.5000 0.0000 x1

[15]
Density functional theory data (PBE) for LiMnAs after structural relaxation.

Output
**DFT formation energy**: -9.2 kcal/mol of atoms
**ΔE to the lowest computed polymorph**: 0.065 eV per atom

abc: 3.6889 12.9475 3.7819
angles: 90.00 90.00 90.00
Space group Cmcm (No. 63)
Symmetry-distinct sites (fractional):
Li 0.0000 0.0859 0.2500 x4
Mn 0.0000 0.2510 0.7500 x4
As 0.0000 0.3714 0.2500 x4

[16]
Density functional theory data (PBE) for InAg2Ru after structural relaxation.

Output
**DFT formation energy**: 6.7 kcal/mol of atoms

abc: 3.9990 3.9990 8.8565
angles: 90.00 90.00 90.00
Space group I4/mmm (No. 139)
Symmetry-distinct sites (fractional):
In 0.0000 0.0000 0.0000 x2
Ag 0.0000 0.5000 0.2500 x4
Ru 0.0000 0.0000 0.5000 x2

[17]
Density functional theory data (PBE) for TeIrRh2 after structural relaxation.

Output
**Formation energy from raw total energies**: 0.366 eV per atom

abc: 2.9862 2.9862 25.7253
angles: 90.00 90.00 120.00
Space group R-3m (No. 166, hexagonal axes)
Symmetry-distinct sites (fractional):
Te 0.0000 0.0000 0.0000 x3
Ir 0.0000 0.0000 0.5000 x3
Rh 0.0000 0.0000 0.2487 x6

[18]
Density functional theory data (PBE) for Pm4DySn5 after structural relaxation.

Output
**DFT formation energy**: -15.4 kcal/mol of atoms

abc: 3.5100 3.5100 22.5303
angles: 90.00 90.00 90.00
Space group P4/mmm (No. 123)
Symmetry-distinct sites (fractional):
Pm 0.0000 0.0000 0.1009 x2
Pm 0.0000 0.0000 0.3018 x2
Dy 0.0000 0.0000 0.5000 x1
Sn 0.5000 0.5000 0.0000 x1
Sn 0.5000 0.5000 0.2014 x2
Sn 0.5000 0.5000 0.4035 x2

[19]
Density functional theory data (PBE) for Mg2TaCr after structural relaxation.

Output
**DFT formation energy**: 9.4 kcal/mol of atoms
**ΔE to the lowest computed polymorph**: 0.137 eV per atom

abc: 2.7973 4.3261 5.9425
angles: 90.00 102.49 90.00
Space group Pm (No. 6)
Symmetry-distinct sites (fractional):
Mg 0.0000 0.0000 0.0000 x1
Mg 0.2971 0.5000 0.7354 x1
Ta 0.7050 0.5000 0.2795 x1
Cr 0.4916 0.0000 0.4695 x1

[20]
Density functional theory data (PBE) for Cs3Th3NpTe8 after structural relaxation.

Output
**Formation energy from raw total energies**: -1.119 eV per atom

abc: 9.0459 9.0459 27.6768
angles: 90.00 90.00 120.00
Space group R-3m (No. 166, hexagonal axes)
Symmetry-distinct sites (fractional):
Cs 0.0000 0.5000 0.0000 x9
Th 0.0000 0.5000 0.5000 x9
Np 0.0000 0.0000 0.5000 x3
Te 0.0000 0.0000 0.2331 x6
Te 0.0033 0.5017 0.7684 x18

[21]
Density functional theory data (PBE) for YInP after structural relaxation.

Output
**DFT formation energy**: -12.1 kcal/mol of atoms

abc: 4.0848 4.0848 5.3963
angles: 90.00 90.00 120.00
Space group P3m1 (No. 156)
Symmetry-distinct sites (fractional):
Y 0.0000 0.0000 0.0000 x1
In 0.6667 0.3333 0.4571 x1
P 0.3333 0.6667 0.7588 x1